[1]
NdSn8Ir2 after structural relaxation. Source: Alexandria via LeMat-Bulk, functional GGA-PBE.

VASP energy	-5.07	eV per atom
D(E_F)	0.78	states/eV per atom

a = 6.462 Å, b = 6.462 Å, c = 7.815 Å
α = 90.00°, β = 90.00°, γ = 90.00°
Space group P4/mmm (No. 123)
Inequivalent atoms, fractional coordinates:
Nd (0.000, 0.000, 0.000)
Sn (0.250, 0.250, 0.298)
Ir (0.000, 0.500, 0.500)

[2]
Nd8SnIr2 after structural relaxation. Source: Alexandria via LeMat-Bulk, functional GGA-PBE.

VASP energy	-5.82	eV per atom
D(E_F)	1.22	states/eV per atom

a = 8.933 Å, b = 13.719 Å, c = 5.644 Å
α = 90.00°, β = 103.41°, γ = 90.00°
Space group C2/m (No. 12)
Inequivalent atoms, fractional coordinates:
Nd (0.000, 0.249, 0.000)
Nd (0.110, 0.500, 0.802)
Nd (0.199, 0.126, 0.568)
Sn (0.000, 0.000, 0.000)
Ir (0.000, 0.305, 0.500)

[3]
NdSn4Ir2 after structural relaxation. Source: Alexandria via LeMat-Bulk, functional GGA-PBE.

VASP energy	-6.04	eV per atom
D(E_F)	0.25	states/eV per atom

a = 18.576 Å, b = 4.516 Å, c = 7.291 Å
α = 90.00°, β = 90.00°, γ = 90.00°
Space group Pnma (No. 62)
Inequivalent atoms, fractional coordinates:
Nd (0.142, 0.250, 0.006)
Sn (0.033, 0.750, 0.868)
Sn (0.067, 0.250, 0.478)
Sn (0.182, 0.750, 0.305)
Sn (0.194, 0.750, 0.726)
Ir (0.035, 0.750, 0.251)
Ir (0.214, 0.250, 0.520)

[4]
NdSn2Ir after structural relaxation. Source: Alexandria via LeMat-Bulk, functional GGA-PBE.

VASP energy	-6.07	eV per atom
D(E_F)	0.46	states/eV per atom

a = 4.609 Å, b = 9.676 Å, c = 17.347 Å
α = 90.00°, β = 90.00°, γ = 90.00°
Space group Immm (No. 71)
Inequivalent atoms, fractional coordinates:
Nd (0.000, 0.000, 0.207)
Nd (0.000, 0.234, 0.000)
Sn (0.000, 0.000, 0.417)
Sn (0.000, 0.340, 0.200)
Sn (0.000, 0.500, 0.420)
Ir (0.000, 0.252, 0.354)

[5]
Nd12SnIr6 after structural relaxation. Source: Alexandria via LeMat-Bulk, functional GGA-PBE.

VASP energy	-6.54	eV per atom
D(E_F)	0.46	states/eV per atom

a = 10.292 Å, b = 10.292 Å, c = 10.292 Å
α = 90.00°, β = 90.00°, γ = 90.00°
Space group Im-3 (No. 204)
Inequivalent atoms, fractional coordinates:
Nd (0.000, 0.191, 0.304)
Sn (0.000, 0.000, 0.000)
Ir (0.000, 0.376, 0.500)

[6]
Nd5SnIr2 after structural relaxation. Source: Alexandria via LeMat-Bulk, functional GGA-PBE.

VASP energy	-6.33	eV per atom
D(E_F)	1.02	states/eV per atom

a = 8.023 Å, b = 8.023 Å, c = 13.944 Å
α = 90.00°, β = 90.00°, γ = 90.00°
Space group I4/mcm (No. 140)
Inequivalent atoms, fractional coordinates:
Nd (0.000, 0.000, 0.000)
Nd (0.161, 0.339, 0.134)
Sn (0.000, 0.000, 0.250)
Ir (0.138, 0.362, 0.500)

[7]
Nd4Sn8Ir after structural relaxation. Source: Alexandria via LeMat-Bulk, functional GGA-PBE.

VASP energy	-5.23	eV per atom
D(E_F)	0.48	states/eV per atom

a = 4.494 Å, b = 4.562 Å, c = 17.196 Å
α = 90.00°, β = 90.00°, γ = 90.00°
Space group Pmm2 (No. 25)
Inequivalent atoms, fractional coordinates:
Nd (0.000, 0.000, 0.000)
Nd (0.000, 0.500, 0.489)
Nd (0.500, 0.000, 0.787)
Nd (0.500, 0.500, 0.292)
Sn (0.000, 0.000, 0.328)
Sn (0.000, 0.000, 0.627)
Sn (0.000, 0.500, 0.145)
Sn (0.000, 0.500, 0.856)
Sn (0.500, 0.000, 0.148)
Sn (0.500, 0.000, 0.448)
Sn (0.500, 0.500, 0.625)
Sn (0.500, 0.500, 0.969)
Ir (0.000, 0.500, 0.706)

[8]
Nd2Sn8Ir after structural relaxation. Source: Alexandria via LeMat-Bulk, functional GGA-PBE.

VASP energy	-4.98	eV per atom
D(E_F)	0.38	states/eV per atom

a = 4.756 Å, b = 4.756 Å, c = 12.552 Å
α = 90.00°, β = 90.00°, γ = 90.00°
Space group P4/mmm (No. 123)
Inequivalent atoms, fractional coordinates:
Nd (0.000, 0.000, 0.185)
Sn (0.000, 0.500, 0.000)
Sn (0.000, 0.500, 0.378)
Sn (0.500, 0.500, 0.195)
Ir (0.000, 0.000, 0.500)

[9]
Nd12Sn6Ir after structural relaxation. Source: Alexandria via LeMat-Bulk, functional GGA-PBE.

VASP energy	-5.19	eV per atom
D(E_F)	1.10	states/eV per atom

a = 13.5790 Å, b = 13.5790 Å, c = 12.7090 Å
α = 90.00°, β = 90.00°, γ = 120.00°
Space group R-3 (No. 148, hexagonal axes)
Inequivalent atoms, fractional coordinates:
Nd (0.0334, 0.2027, 0.3955)
Nd (0.0612, 0.1981, 0.8819)
Sn (0.0485, 0.2811, 0.6439)
Ir (0.0000, 0.0000, 0.0000)

[10]
Nd2Sn4Ir5 after structural relaxation. Source: Alexandria via LeMat-Bulk, functional GGA-PBE.

VASP energy	-6.75	eV per atom
D(E_F)	0.37	states/eV per atom

a = 5.835 Å, b = 9.993 Å, c = 16.395 Å
α = 90.00°, β = 90.00°, γ = 90.00°
Space group Fmmm (No. 69)
Inequivalent atoms, fractional coordinates:
Nd (0.000, 0.000, 0.112)
Sn (0.000, 0.161, 0.370)
Ir (0.000, 0.000, 0.500)
Ir (0.250, 0.250, 0.000)
Ir (0.250, 0.250, 0.250)

[11]
Nd3Sn13Ir4 after structural relaxation. Source: Alexandria via LeMat-Bulk, functional GGA-PBE.

VASP energy	-5.60	eV per atom
D(E_F)	0.33	states/eV per atom

a = 9.819 Å, b = 9.819 Å, c = 9.819 Å
α = 90.00°, β = 90.00°, γ = 90.00°
Space group Pm-3n (No. 223)
Inequivalent atoms, fractional coordinates:
Nd (0.000, 0.250, 0.500)
Sn (0.000, 0.000, 0.000)
Sn (0.000, 0.307, 0.152)
Ir (0.250, 0.250, 0.250)

[12]
Nd3Sn4Ir2 after structural relaxation. Source: Alexandria via LeMat-Bulk, functional GGA-PBE.

VASP energy	-5.97	eV per atom
D(E_F)	0.49	states/eV per atom

a = 11.388 Å, b = 4.706 Å, c = 9.109 Å
α = 90.00°, β = 112.03°, γ = 90.00°
Space group C2/m (No. 12)
Inequivalent atoms, fractional coordinates:
Nd (0.000, 0.000, 0.000)
Nd (0.182, 0.500, 0.624)
Sn (0.018, 0.000, 0.349)
Sn (0.229, 0.500, 0.088)
Ir (0.097, 0.500, 0.277)

Formation enthalpy at 0 K for every record listed, in sequence, given in kJ/mol of atoms: -11.4, -36.6, -51.9, -64.2, -50.2, -61.6, -60.1, -37.9, -43.3, -38.2, -49.1, -61.1.